Entry 1:
{"formula": "TlIn2AgPd", "functional": "GGA-PBE", "state": "optimized geometry", "formation_energy_kj_per_mol_atoms": 67.14, "sg": "P4/mmm, No. 123", "e_tot_ev_per_atom": -2.482, "lattice": [[5.6075, 0.0000, 0.0000], [0.0000, 5.6075, 0.0000], [0.0000, 0.0000, 5.1428]], "species": ["Tl", "In", "In", "Ag", "Pd"], "fractional_positions": [[0.0000, 0.0000, 0.0000], [0.0000, 0.5000, 0.0000], [0.5000, 0.0000, 0.0000], [0.5000, 0.5000, 0.5000], [0.0000, 0.0000, 0.5000]]}



Entry 2:
{"formula": "CsIrNF", "functional": "GGA-PBE", "state": "optimized geometry", "sg": "Pmm2, No. 25", "e_tot_ev_per_atom": -5.392, "polymorph_energy_kcal_per_mol_atoms": 3.46, "e_form_raw_ev_per_atom": -0.4139, "lattice": [[3.1711, 0.0000, 0.0000], [0.0000, 4.1638, 0.0000], [0.0000, 0.0000, 6.3205]], "species": ["Cs", "Ir", "N", "F"], "fractional_positions": [[0.0000, 0.0000, 0.0000], [0.0000, 0.5000, 0.4818], [0.5000, 0.5000, 0.3165], [0.5000, 0.5000, 0.7426]]}